Density functional theory data (GGA-PBE) for a relaxed Ca2TaAg crystal.

The structure belongs to space group R-3m (No. 166, hexagonal axes); the cell edges are 3.2856, 3.2856 and 31.1540 Å and the angles 90.00°, 90.00° and 120.00°. The inequivalent atoms are Ca at (0.0000, 0.0000, 0.2492), Ta at (0.0000, 0.0000, 0.0000) and Ag at (0.0000, 0.0000, 0.5000).

The calculation puts the energy above the most stable polymorph in this dataset at 0.122 eV per atom. The formation energy is 45.0 kJ per mole of atoms. The calculation puts the total magnetization at 0.00 μB per formula unit. The raw total energy comes out at -50.530 eV/cell. The calculation puts the volume at 97 Å³/f.u.



Density functional theory data (GGA-PBE) for a relaxed Dy6TmIn5 crystal.

The structure belongs to space group Immm (No. 71); the cell edges are 4.9491, 8.8352 and 14.9493 Å and the angles 90.00°, 90.00° and 90.00°. The inequivalent atoms are Dy at (0.0000, 0.2299, 0.0000), Dy at (0.0000, 0.2620, 0.3302), Tm at (0.0000, 0.0000, 0.5000), In at (0.0000, 0.0000, 0.1758), In at (0.0000, 0.5000, 0.1515) and In at (0.0000, 0.5000, 0.5000).

The calculation puts the energy above the most stable polymorph in this dataset at 0.000 eV per atom. The formation energy is -37.1 kJ per mole of atoms. The calculation puts the total magnetization at 0.00 μB per formula unit. The raw total energy comes out at -100.776 eV/cell. The calculation puts the volume at 327 Å³/f.u.



Density functional theory data (GGA-PBE) for a relaxed TmThZnCo crystal.

The structure belongs to space group F-43m (No. 216); the cell edges are 6.9908, 6.9908 and 6.9908 Å and the angles 90.00°, 90.00° and 90.00°. The inequivalent atoms are Tm at (0.0000, 0.0000, 0.0000), Th at (0.0000, 0.0000, 0.5000), Zn at (0.2500, 0.2500, 0.7500) and Co at (0.2500, 0.2500, 0.2500).

The formation energy is -16.9 kJ per mole of atoms. The calculation puts the total magnetization at 0.29 μB per formula unit. The raw total energy comes out at -83.890 eV/cell. The calculation puts the volume at 85 Å³/f.u.